Record 1
The following is a DFT calculation (GGA-PBE) of SrBiS2Cl after structural relaxation.

Cell and atoms, written as POSCAR:
```
SrBiS2Cl
1.0
5.388 0.000 0.000
0.000 5.388 0.000
0.000 0.000 5.281
S Bi Sr Cl
2 1 1 1
Cartesian
2.694 0.000 0.000
0.000 2.694 0.000
0.000 0.000 0.000
2.694 2.694 2.641
0.000 0.000 2.641
```

size of the total moment	0.00	μB per formula unit
energy relative to the elements, uncorrected	-894	meV per atom
density of states at the Fermi level	0.2	states/eV/f.u.

Record 2
The following is a DFT calculation (GGA-PBE) of TaBiSCl2 after structural relaxation.

Cell and atoms, written as POSCAR:
```
TaBiSCl2
1.0
4.877 0.000 0.000
0.000 4.877 0.000
0.000 0.000 4.869
Cl Bi S Ta
2 1 1 1
Cartesian
0.000 2.438 0.000
2.438 0.000 0.000
2.438 2.438 2.435
0.000 0.000 2.435
0.000 0.000 0.000
```

size of the total moment	0.00	μB per formula unit
energy relative to the elements, uncorrected	-154	meV per atom
density of states at the Fermi level	4.4	states/eV/f.u.

Record 3
The following is a DFT calculation (GGA-PBE) of TaBiSCl2 after structural relaxation.

Cell and atoms, written as POSCAR:
```
TaBiSCl2
1.0
-3.747 -1.107 3.616
3.147 -3.736 2.117
2.175 3.761 3.404
Cl Bi Ta S
2 1 1 1
Cartesian
-1.874 -0.553 1.808
1.573 -1.868 1.059
0.000 0.000 0.000
0.787 -0.541 4.569
1.087 1.881 1.702
```

size of the total moment	3.92	μB per formula unit
energy relative to the elements, uncorrected	859	meV per atom
density of states at the Fermi level	5.5	states/eV/f.u.

Record 4
The following is a DFT calculation (GGA-PBE) of TcBiS2Cl after structural relaxation.

Cell and atoms, written as POSCAR:
```
TcBiS2Cl
1.0
4.674 0.000 0.000
0.000 4.674 0.000
0.000 0.000 4.850
S Bi Tc Cl
2 1 1 1
Cartesian
0.000 2.337 0.000
2.337 0.000 0.000
2.337 2.337 2.425
0.000 0.000 0.000
0.000 0.000 2.425
```

size of the total moment	0.91	μB per formula unit
energy relative to the elements, uncorrected	88	meV per atom
density of states at the Fermi level	6.0	states/eV/f.u.

Record 5
The following is a DFT calculation (GGA-PBE) of TcBiS2Cl after structural relaxation.

Cell and atoms, written as POSCAR:
```
TcBiS2Cl
1.0
-4.141 0.569 -3.295
3.291 -0.229 -4.176
-0.575 -5.167 -0.169
S Bi Tc Cl
2 1 1 1
Cartesian
-2.071 0.284 -1.647
1.646 -0.115 -2.088
0.000 0.000 0.000
-0.712 -2.414 -3.820
-0.287 -2.583 -0.085
```

size of the total moment	4.99	μB per formula unit
energy relative to the elements, uncorrected	833	meV per atom
density of states at the Fermi level	2.1	states/eV/f.u.

Record 6
The following is a DFT calculation (GGA-PBE) of TiBiS2Cl after structural relaxation.

Cell and atoms, written as POSCAR:
```
TiBiS2Cl
1.0
-4.544 0.909 1.331
-0.568 -4.629 1.222
1.467 0.967 4.346
Cl Ti S Bi
1 1 2 1
Cartesian
0.733 0.484 2.173
0.000 0.000 0.000
-0.284 -2.315 0.611
-2.272 0.455 0.666
-1.823 -1.376 3.450
```

size of the total moment	0.01	μB per formula unit
energy relative to the elements, uncorrected	-566	meV per atom
density of states at the Fermi level	5.3	states/eV/f.u.

Record 7
The following is a DFT calculation (GGA-PBE) of TiBiSCl2 after structural relaxation.

Cell and atoms, written as POSCAR:
```
TiBiSCl2
1.0
-2.509 3.512 -2.053
-0.543 -2.680 -3.920
-4.151 -1.878 1.859
Cl Bi Ti S
2 1 1 1
Cartesian
-0.271 -1.340 -1.960
-1.254 1.756 -1.027
-3.601 -0.523 -2.057
0.000 0.000 0.000
-2.075 -0.939 0.929
```

size of the total moment	0.00	μB per formula unit
energy relative to the elements, uncorrected	-586	meV per atom
density of states at the Fermi level	5.7	states/eV/f.u.

Record 8
The following is a DFT calculation (GGA-PBE) of TiBiSCl2 after structural relaxation.

Cell and atoms, written as POSCAR:
```
TiBiSCl2
1.0
5.416 0.000 0.000
0.000 5.416 0.000
0.000 0.000 5.415
Ti S Bi Cl
1 1 1 2
Cartesian
2.708 2.708 2.708
0.000 0.000 2.708
0.000 0.000 0.000
0.000 2.708 0.000
2.708 0.000 0.000
```

size of the total moment	2.77	μB per formula unit
energy relative to the elements, uncorrected	155	meV per atom
density of states at the Fermi level	6.4	states/eV/f.u.